(a)
NbV3O GGA+U relaxed; symmetry = Pm-3m (221)
1.0
-1.221 0.031 -4.003
-3.514 -2.013 1.056
-1.917 3.669 0.613
Nb O V
1 1 3
Cartesian
-3.326 0.844 -1.167
0.000 0.000 0.000
-1.757 -1.006 0.528
-0.959 1.835 0.307
-0.611 0.016 -2.001

(b)
NbV3O GGA+U relaxed; symmetry = Pm-3m (221)
1.0
-2.461 4.137 -0.064
-1.315 -0.711 4.576
3.923 2.357 1.494
Nb O V
1 1 3
Cartesian
0.000 0.000 0.000
0.073 2.891 3.003
-0.658 -0.356 2.288
1.961 1.178 0.747
-1.230 2.069 -0.032

Most stable of them? (a).

(a)
NbVO5 GGA+U relaxed; symmetry = Pnma (62)
1.0
5.643 0.000 0.000
0.000 7.097 0.000
0.000 0.000 12.106
Nb V O
4 4 20
Cartesian
4.232 5.986 0.716
1.411 2.438 5.337
4.232 4.659 6.769
1.411 1.110 11.390
1.411 3.757 1.864
4.232 0.208 4.189
1.411 6.889 7.917
4.232 3.340 10.242
0.000 0.000 0.000
2.822 0.000 0.000
1.411 2.289 0.919
0.003 4.673 1.499
2.818 4.673 1.499
4.232 6.889 2.472
1.411 3.340 3.581
5.640 1.124 4.554
2.825 1.124 4.554
4.232 5.838 5.134
0.000 3.548 6.053
2.822 3.548 6.053
1.411 1.259 6.972
0.003 5.973 7.552
2.818 5.973 7.552
4.232 3.756 8.525
1.411 0.208 9.634
2.825 2.424 10.607
5.640 2.424 10.607
4.232 4.808 11.187

(b)
NbVO5 GGA+U relaxed; symmetry = P4/n (85)
1.0
-3.548 -4.806 -3.415
-2.105 -2.690 5.973
-3.365 2.520 -0.051
Nb V O
2 2 10
Cartesian
-3.750 0.675 2.946
-2.442 -1.903 -1.717
-4.509 -2.488 1.254
-1.683 1.260 -0.025
-3.285 -2.497 0.020
-6.025 -2.908 0.516
-1.819 -0.771 2.975
-4.546 -0.904 1.969
-4.180 -3.642 2.511
-7.665 -5.082 1.276
-3.750 -3.014 5.233
-4.373 -0.457 -1.747
-3.714 -3.126 -2.702
-2.907 1.269 1.208

Most stable of them? (a).

(a)
NbV3O8 GGA+U relaxed; symmetry = Cm (8)
1.0
6.522 0.004 0.017
5.401 3.655 0.017
1.788 0.549 6.441
Nb V O
1 3 8
Cartesian
4.127 1.267 1.750
7.726 2.371 2.052
5.977 1.834 4.433
9.565 2.936 4.770
11.542 3.542 4.549
9.769 2.998 2.243
9.358 2.872 6.434
7.771 2.385 4.073
5.870 1.802 2.455
6.182 1.897 6.404
3.975 1.220 4.252
2.192 0.673 1.875

(b)
NbV3O8 GGA+U relaxed; symmetry = P1 (1)
1.0
5.927 -0.025 0.033
-0.075 9.381 0.002
3.074 -0.030 5.275
Nb V O
2 6 16
Cartesian
2.787 4.652 1.905
6.080 9.314 3.336
7.277 6.683 4.593
1.655 2.022 0.715
5.800 6.583 1.906
4.497 1.951 0.826
4.418 6.729 4.446
3.177 1.974 3.398
4.307 5.606 0.963
7.544 0.897 4.280
2.945 3.176 0.224
5.973 7.817 5.125
3.029 0.972 1.691
5.825 5.652 3.754
3.155 2.800 5.173
5.846 7.514 0.086
1.412 5.596 0.989
4.654 0.932 4.293
4.268 3.149 2.520
7.203 7.756 2.865
1.710 3.097 2.479
4.613 7.848 2.897
6.073 0.885 1.705
2.881 5.636 3.551

Most stable of them? (a).

(a)
ZrNbVO2 GGA+U relaxed; symmetry = P4/mmm (123)
1.0
-1.769 -3.310 -0.825
2.319 -0.076 -4.668
2.952 -1.951 1.499
Nb O Zr V
1 2 1 1
Cartesian
1.160 -0.038 -2.334
1.476 -0.975 0.749
-0.884 -1.655 -0.412
1.751 -2.669 -1.997
0.000 0.000 0.000

(b)
ZrNbVO2 GGA+U relaxed; symmetry = P4/mmm (123)
1.0
-2.653 2.779 -1.029
-3.061 -1.327 4.305
1.946 2.675 2.209
Nb O Zr V
1 2 1 1
Cartesian
0.000 0.000 0.000
0.973 1.338 1.104
-1.326 1.390 -0.515
-1.884 2.064 2.742
-1.531 -0.664 2.152

Most stable of them? (b).